Entry 1:
DFT (PBE-GGA) results for a geometry-optimized RbSr2Ag2 structure.

As for the density of states at the Fermi level: 5.962 states/eV per cell. Its crystal system is tetragonal. For the formation energy from the elements, the calculation gives 3 kJ/mol of atoms. The energy relative to the lowest polymorph listed for this composition is 0.1451 eV per atom.

The structure belongs to space group I4/mmm (No. 139); the cell edges are 5.933, 5.933 and 13.140 Å and the angles 90.00°, 90.00° and 90.00°. The distinct sites, in fractional coordinates, are Rb at (0.000, 0.000, 0.000), Sr at (0.000, 0.000, 0.337) and Ag at (0.000, 0.500, 0.250).


Entry 2:
DFT (PBE-GGA) results for a geometry-optimized RbSrAg4 structure.

As for the density of states at the Fermi level: 25.174 states/eV per cell. Its crystal system is cubic. For the formation energy from the elements, the calculation gives -1 kJ/mol of atoms.

The structure belongs to space group F-43m (No. 216); the cell edges are 8.549, 8.549 and 8.549 Å and the angles 90.00°, 90.00° and 90.00°. The distinct sites, in fractional coordinates, are Rb at (0.000, 0.000, 0.000), Sr at (0.250, 0.250, 0.750) and Ag at (0.124, 0.124, 0.376).


Entry 3:
DFT (PBE-GGA) results for a geometry-optimized Rb2SrAg2 structure.

As for the density of states at the Fermi level: 1.011 states/eV per cell. Its crystal system is tetragonal. For the formation energy from the elements, the calculation gives 4 kJ/mol of atoms. The energy relative to the lowest polymorph listed for this composition is 0.0000 eV per atom.

The structure belongs to space group P4/mbm (No. 127); the cell edges are 8.618, 8.618 and 5.638 Å and the angles 90.00°, 90.00° and 90.00°. The distinct sites, in fractional coordinates, are Rb at (0.165, 0.335, 0.000), Sr at (0.000, 0.000, 0.500) and Ag at (0.119, 0.619, 0.500).


Entry 4:
DFT (PBE-GGA) results for a geometry-optimized RbSr2Ag structure.

As for the density of states at the Fermi level: 9.103 states/eV per cell. Its crystal system is trigonal. For the formation energy from the elements, the calculation gives -3 kJ/mol of atoms. The energy relative to the lowest polymorph listed for this composition is 0.0460 eV per atom.

The structure belongs to space group R-3m (No. 166, hexagonal axes); the cell edges are 4.5767, 4.5767 and 37.2115 Å and the angles 90.00°, 90.00° and 120.00°. The distinct sites, in fractional coordinates, are Rb at (0.0000, 0.0000, 0.0000), Sr at (0.0000, 0.0000, 0.1184) and Ag at (0.0000, 0.0000, 0.5000).


Entry 5:
DFT (PBE-GGA) results for a geometry-optimized RbSrAg2 structure.

As for the density of states at the Fermi level: 1.803 states/eV per cell. Its crystal system is tetragonal. For the formation energy from the elements, the calculation gives -2 kJ/mol of atoms. The energy relative to the lowest polymorph listed for this composition is 0.0861 eV per atom.

The structure belongs to space group P4/mmm (No. 123); the cell edges are 5.869, 5.869 and 3.950 Å and the angles 90.00°, 90.00° and 90.00°. The distinct sites, in fractional coordinates, are Rb at (0.000, 0.000, 0.000), Sr at (0.500, 0.500, 0.000) and Ag at (0.000, 0.500, 0.500).


Entry 6:
DFT (PBE-GGA) results for a geometry-optimized RbSrAg2 structure.

As for the density of states at the Fermi level: 1.408 states/eV per cell. Its crystal system is tetragonal. For the formation energy from the elements, the calculation gives -11 kJ/mol of atoms. The energy relative to the lowest polymorph listed for this composition is 0.0000 eV per atom.

The structure belongs to space group P4/mmm (No. 123); the cell edges are 4.162, 4.162 and 8.283 Å and the angles 90.00°, 90.00° and 90.00°. The distinct sites, in fractional coordinates, are Rb at (0.000, 0.000, 0.000), Sr at (0.000, 0.000, 0.500) and Ag at (0.500, 0.500, 0.315).


Entry 7:
DFT (PBE-GGA) results for a geometry-optimized RbSr2Ag2 structure.

As for the density of states at the Fermi level: 6.313 states/eV per cell. Its crystal system is tetragonal. For the formation energy from the elements, the calculation gives -5 kJ/mol of atoms. The energy relative to the lowest polymorph listed for this composition is 0.0619 eV per atom.

The structure belongs to space group I4/mmm (No. 139); the cell edges are 5.499, 5.499 and 13.304 Å and the angles 90.00°, 90.00° and 90.00°. The distinct sites, in fractional coordinates, are Rb at (0.000, 0.000, 0.000), Sr at (0.000, 0.500, 0.250) and Ag at (0.000, 0.000, 0.393).


Entry 8:
DFT (PBE-GGA) results for a geometry-optimized RbSrAg2 structure.

As for the density of states at the Fermi level: 8.668 states/eV per cell. Its crystal system is tetragonal. For the formation energy from the elements, the calculation gives 15 kJ/mol of atoms. The energy relative to the lowest polymorph listed for this composition is 0.2603 eV per atom.

The structure belongs to space group I-42d (No. 122); the cell edges are 8.937, 8.937 and 7.957 Å and the angles 90.00°, 90.00° and 90.00°. The distinct sites, in fractional coordinates, are Rb at (0.000, 0.000, 0.000), Sr at (0.000, 0.000, 0.500) and Ag at (0.228, 0.750, 0.625).


Entry 9:
DFT (PBE-GGA) results for a geometry-optimized RbSrAg10 structure.

As for the density of states at the Fermi level: 4.665 states/eV per cell. Its crystal system is orthorhombic. For the formation energy from the elements, the calculation gives -6 kJ/mol of atoms.

The structure belongs to space group Pmmm (No. 47); the cell edges are 4.636, 5.831 and 10.194 Å and the angles 90.00°, 90.00° and 90.00°. The distinct sites, in fractional coordinates, are Rb at (0.000, 0.000, 0.000), Sr at (0.000, 0.500, 0.500), Ag at (0.000, 0.000, 0.338), Ag at (0.000, 0.500, 0.173), Ag at (0.500, 0.000, 0.500), Ag at (0.500, 0.255, 0.258) and Ag at (0.500, 0.500, 0.000).


Entry 10:
DFT (PBE-GGA) results for a geometry-optimized Rb2SrAg2 structure.

As for the density of states at the Fermi level: 6.102 states/eV per cell. Its crystal system is tetragonal. For the formation energy from the elements, the calculation gives 17 kJ/mol of atoms. The energy relative to the lowest polymorph listed for this composition is 0.1342 eV per atom.

The structure belongs to space group P4/mbm (No. 127); the cell edges are 10.017, 10.017 and 4.027 Å and the angles 90.00°, 90.00° and 90.00°. The distinct sites, in fractional coordinates, are Rb at (0.125, 0.375, 0.000), Sr at (0.000, 0.000, 0.000) and Ag at (0.179, 0.679, 0.500).


Among the records above, which one has the highest formation energy from the elements?
number 10